1.
Compound: TmPt
Source: Alexandria
Functional: GGA-PBEsol
Structure: optimized geometry

Cell and atoms, written as CIF:
```
data_TmPt
_space_group_name_H-M_alt 'P 1'
_space_group_IT_number 1
_cell_length_a 4.4607
_cell_length_b 5.4419
_cell_length_c 6.7275
_cell_angle_alpha 90.00
_cell_angle_beta 90.00
_cell_angle_gamma 90.00
loop_
_space_group_symop_operation_xyz
'x,y,z'
loop_
_atom_site_label
_atom_site_type_symbol
_atom_site_fract_x
_atom_site_fract_y
_atom_site_fract_z
Tm1 Tm 0.2500 0.6423 0.1813
Tm2 Tm 0.7500 0.3577 0.8187
Tm3 Tm 0.7500 0.1423 0.3187
Tm4 Tm 0.2500 0.8577 0.6813
Pt1 Pt 0.2500 0.1564 0.0427
Pt2 Pt 0.7500 0.8436 0.9573
Pt3 Pt 0.7500 0.6564 0.4573
Pt4 Pt 0.2500 0.3436 0.5427
```

ΔE_f   -1.292 eV per atom
Symmetry   Pnma
Calculated density   14.81 g/cm³


2.
Compound: Tm3Pt
Source: Alexandria
Functional: GGA-PBEsol
Structure: optimized geometry

Cell and atoms, written as CIF:
```
data_Tm3Pt
_space_group_name_H-M_alt 'P 1'
_space_group_IT_number 1
_cell_length_a 6.3352
_cell_length_b 6.8472
_cell_length_c 9.1884
_cell_angle_alpha 90.00
_cell_angle_beta 90.00
_cell_angle_gamma 90.00
loop_
_space_group_symop_operation_xyz
'x,y,z'
loop_
_atom_site_label
_atom_site_type_symbol
_atom_site_fract_x
_atom_site_fract_y
_atom_site_fract_z
Tm1 Tm 0.3182 0.6830 0.0584
Tm2 Tm 0.1818 0.1830 0.4416
Tm3 Tm 0.6818 0.3170 0.5584
Tm4 Tm 0.8182 0.8170 0.9416
Tm5 Tm 0.6818 0.3170 0.9416
Tm6 Tm 0.8182 0.8170 0.5584
Tm7 Tm 0.3182 0.6830 0.4416
Tm8 Tm 0.1818 0.1830 0.0584
Tm9 Tm 0.8782 0.5230 0.2500
Tm10 Tm 0.6218 0.0230 0.2500
Tm11 Tm 0.1218 0.4770 0.7500
Tm12 Tm 0.3782 0.9770 0.7500
Pt1 Pt 0.0436 0.8931 0.2500
Pt2 Pt 0.4564 0.3931 0.2500
Pt3 Pt 0.9564 0.1069 0.7500
Pt4 Pt 0.5436 0.6069 0.7500
```

ΔE_f   -0.723 eV per atom
Symmetry   Pnma
Calculated density   11.70 g/cm³


3.
Compound: TmPt2
Source: Alexandria
Functional: GGA-PBEsol
Structure: optimized geometry

Cell and atoms, written as CIF:
```
data_TmPt2
_space_group_name_H-M_alt 'P 1'
_space_group_IT_number 1
_cell_length_a 5.3290
_cell_length_b 5.3290
_cell_length_c 5.3290
_cell_angle_alpha 60.00
_cell_angle_beta 60.00
_cell_angle_gamma 60.00
loop_
_space_group_symop_operation_xyz
'x,y,z'
loop_
_atom_site_label
_atom_site_type_symbol
_atom_site_fract_x
_atom_site_fract_y
_atom_site_fract_z
Tm1 Tm 0.7500 0.7500 0.7500
Tm2 Tm 0.5000 0.5000 0.5000
Pt1 Pt 0.6250 0.1250 0.1250
Pt2 Pt 0.1250 0.1250 0.1250
Pt3 Pt 0.1250 0.1250 0.6250
Pt4 Pt 0.1250 0.6250 0.1250
```

ΔE_f   -1.123 eV per atom
Symmetry   Fd-3m
Calculated density   17.35 g/cm³


4.
Compound: VPt3
Source: Alexandria
Functional: GGA-PBEsol
Structure: optimized geometry

Cell and atoms, written as CIF:
```
data_VPt3
_space_group_name_H-M_alt 'P 1'
_space_group_IT_number 1
_cell_length_a 3.8652
_cell_length_b 3.8652
_cell_length_c 3.8652
_cell_angle_alpha 90.00
_cell_angle_beta 90.00
_cell_angle_gamma 90.00
loop_
_space_group_symop_operation_xyz
'x,y,z'
loop_
_atom_site_label
_atom_site_type_symbol
_atom_site_fract_x
_atom_site_fract_y
_atom_site_fract_z
Pt1 Pt 0.5000 0.5000 0.0000
Pt2 Pt 0.5000 0.0000 0.5000
Pt3 Pt 0.0000 0.5000 0.5000
V1 V 0.0000 0.0000 0.0000
```

ΔE_f   -0.450 eV per atom
Symmetry   Pm-3m
Calculated density   18.29 g/cm³


5.
Compound: V3Pt
Source: Alexandria
Functional: GGA-PBEsol
Structure: optimized geometry

Cell and atoms, written as CIF:
```
data_V3Pt
_space_group_name_H-M_alt 'P 1'
_space_group_IT_number 1
_cell_length_a 4.7512
_cell_length_b 4.7512
_cell_length_c 4.7512
_cell_angle_alpha 90.00
_cell_angle_beta 90.00
_cell_angle_gamma 90.00
loop_
_space_group_symop_operation_xyz
'x,y,z'
loop_
_atom_site_label
_atom_site_type_symbol
_atom_site_fract_x
_atom_site_fract_y
_atom_site_fract_z
V1 V 0.5000 0.2500 0.0000
V2 V 0.5000 0.7500 0.0000
V3 V 0.2500 0.0000 0.5000
V4 V 0.7500 0.0000 0.5000
V5 V 0.0000 0.5000 0.2500
V6 V 0.0000 0.5000 0.7500
Pt1 Pt 0.5000 0.5000 0.5000
Pt2 Pt 0.0000 0.0000 0.0000
```

ΔE_f   -0.450 eV per atom
Symmetry   Pm-3n
Calculated density   10.77 g/cm³


6.
Compound: VPt2
Source: Alexandria
Functional: GGA-PBEsol
Structure: optimized geometry

Cell and atoms, written as CIF:
```
data_VPt2
_space_group_name_H-M_alt 'P 1'
_space_group_IT_number 1
_cell_length_a 4.7523
_cell_length_b 4.7523
_cell_length_c 4.7523
_cell_angle_alpha 146.95
_cell_angle_beta 133.08
_cell_angle_gamma 58.58
loop_
_space_group_symop_operation_xyz
'x,y,z'
loop_
_atom_site_label
_atom_site_type_symbol
_atom_site_fract_x
_atom_site_fract_y
_atom_site_fract_z
Pt1 Pt 0.6609 0.6609 0.0000
Pt2 Pt 0.3391 0.3391 0.0000
V1 V 0.0000 0.0000 0.0000
```

ΔE_f   -0.574 eV per atom
Symmetry   Immm
Calculated density   17.28 g/cm³


7.
Compound: VPt8
Source: Alexandria
Functional: GGA-PBEsol
Structure: optimized geometry

Cell and atoms, written as CIF:
```
data_VPt8
_space_group_name_H-M_alt 'P 1'
_space_group_IT_number 1
_cell_length_a 3.8618
_cell_length_b 6.1558
_cell_length_c 6.1558
_cell_angle_alpha 84.35
_cell_angle_beta 71.72
_cell_angle_gamma 71.72
loop_
_space_group_symop_operation_xyz
'x,y,z'
loop_
_atom_site_label
_atom_site_type_symbol
_atom_site_fract_x
_atom_site_fract_y
_atom_site_fract_z
Pt1 Pt 0.6609 0.6783 0.0000
Pt2 Pt 0.3391 0.3217 0.0000
Pt3 Pt 0.3391 0.0000 0.3217
Pt4 Pt 0.6609 0.0000 0.6783
Pt5 Pt 0.0000 0.3283 0.6717
Pt6 Pt 0.0000 0.6717 0.3283
Pt7 Pt 0.3283 0.6717 0.6717
Pt8 Pt 0.6717 0.3283 0.3283
V1 V 0.0000 0.0000 0.0000
```

ΔE_f   -0.284 eV per atom
Symmetry   I4/mmm
Calculated density   20.28 g/cm³


8.
Compound: VPt3
Source: Alexandria
Functional: GGA-PBEsol
Structure: optimized geometry

Cell and atoms, written as CIF:
```
data_VPt3
_space_group_name_H-M_alt 'P 1'
_space_group_IT_number 1
_cell_length_a 3.8366
_cell_length_b 3.8366
_cell_length_c 4.7519
_cell_angle_alpha 113.81
_cell_angle_beta 113.81
_cell_angle_gamma 90.00
loop_
_space_group_symop_operation_xyz
'x,y,z'
loop_
_atom_site_label
_atom_site_type_symbol
_atom_site_fract_x
_atom_site_fract_y
_atom_site_fract_z
Pt1 Pt 0.2500 0.7500 0.5000
Pt2 Pt 0.7500 0.2500 0.5000
Pt3 Pt 0.5000 0.5000 0.0000
V1 V 0.0000 0.0000 0.0000
```

ΔE_f   -0.472 eV per atom
Symmetry   I4/mmm
Calculated density   18.40 g/cm³


9.
Compound: PtW
Source: Alexandria
Functional: GGA-PBEsol
Structure: optimized geometry

Cell and atoms, written as CIF:
```
data_PtW
_space_group_name_H-M_alt 'P 1'
_space_group_IT_number 1
_cell_length_a 2.7358
_cell_length_b 2.7358
_cell_length_c 8.1632
_cell_angle_alpha 90.00
_cell_angle_beta 90.00
_cell_angle_gamma 90.00
loop_
_space_group_symop_operation_xyz
'x,y,z'
loop_
_atom_site_label
_atom_site_type_symbol
_atom_site_fract_x
_atom_site_fract_y
_atom_site_fract_z
W1 W 0.5000 0.0000 0.6342
W2 W 0.0000 0.5000 0.3658
Pt1 Pt 0.5000 0.0000 0.1335
Pt2 Pt 0.0000 0.5000 0.8665
```

ΔE_f   -0.201 eV per atom
Symmetry   P4/nmm
Calculated density   20.60 g/cm³


10.
Compound: PtW
Source: Alexandria
Functional: GGA-PBEsol
Structure: optimized geometry

Cell and atoms, written as CIF:
```
data_PtW
_space_group_name_H-M_alt 'P 1'
_space_group_IT_number 1
_cell_length_a 4.3822
_cell_length_b 4.3822
_cell_length_c 5.0397
_cell_angle_alpha 90.00
_cell_angle_beta 90.00
_cell_angle_gamma 120.00
loop_
_space_group_symop_operation_xyz
'x,y,z'
loop_
_atom_site_label
_atom_site_type_symbol
_atom_site_fract_x
_atom_site_fract_y
_atom_site_fract_z
Pt1 Pt 0.6667 0.3333 0.2500
Pt2 Pt 0.3333 0.6667 0.7500
W1 W 0.6667 0.3333 0.7500
W2 W 0.3333 0.6667 0.2500
```

ΔE_f   1.090 eV per atom
Symmetry   P6_3/mmc
Calculated density   15.01 g/cm³


11.
Compound: PtW
Source: Alexandria
Functional: GGA-PBEsol
Structure: optimized geometry

Cell and atoms, written as CIF:
```
data_PtW
_space_group_name_H-M_alt 'P 1'
_space_group_IT_number 1
_cell_length_a 4.4535
_cell_length_b 4.7904
_cell_length_c 5.6590
_cell_angle_alpha 90.00
_cell_angle_beta 90.00
_cell_angle_gamma 90.00
loop_
_space_group_symop_operation_xyz
'x,y,z'
loop_
_atom_site_label
_atom_site_type_symbol
_atom_site_fract_x
_atom_site_fract_y
_atom_site_fract_z
W1 W 0.7500 0.4202 0.3754
W2 W 0.2500 0.0798 0.8754
W3 W 0.7500 0.9202 0.1246
W4 W 0.2500 0.5798 0.6246
Pt1 Pt 0.7500 0.4236 0.8759
Pt2 Pt 0.2500 0.0764 0.3759
Pt3 Pt 0.7500 0.9236 0.6241
Pt4 Pt 0.2500 0.5764 0.1241
```

ΔE_f   -0.187 eV per atom
Symmetry   Pnma
Calculated density   20.85 g/cm³


12.
Compound: PtW
Source: Alexandria
Functional: GGA-PBEsol
Structure: optimized geometry

Cell and atoms, written as CIF:
```
data_PtW
_space_group_name_H-M_alt 'P 1'
_space_group_IT_number 1
_cell_length_a 2.7132
_cell_length_b 2.7132
_cell_length_c 4.0954
_cell_angle_alpha 90.00
_cell_angle_beta 90.00
_cell_angle_gamma 90.00
loop_
_space_group_symop_operation_xyz
'x,y,z'
loop_
_atom_site_label
_atom_site_type_symbol
_atom_site_fract_x
_atom_site_fract_y
_atom_site_fract_z
Pt1 Pt 0.0000 0.0000 0.0000
W1 W 0.5000 0.5000 0.5000
```

ΔE_f   -0.199 eV per atom
Symmetry   P4/mmm
Calculated density   20.87 g/cm³


What is the formula in the twelfth record?
PtW